Computed, not measured: a geometry-optimized YMgZr structure at the GGA-PBEsol level of DFT.

Cell and atoms, written as CIF:
```
data_YMgZr
_cell_length_a 3.3277
_cell_length_b 3.3277
_cell_length_c 13.4846
_cell_angle_alpha 90.00
_cell_angle_beta 90.00
_cell_angle_gamma 90.00
_symmetry_space_group_name_H-M 'I 4 m m'
_symmetry_Int_Tables_number 107
_symmetry_space_group_name_Hall 'I 4 -2'
loop_
_atom_site_label
_atom_site_type_symbol
_atom_site_fract_x
_atom_site_fract_y
_atom_site_fract_z
Y1 Y 0.0000 0.0000 0.0000
Mg1 Mg 0.0000 0.0000 0.3203
Zr1 Zr 0.0000 0.0000 0.6649
```

Properties
Energy of formation from the pure elements = 0.018 eV per atom
Crystal system = tetragonal
DFT total energy = -5.8587 eV/atom